Entry 1:
Entry from Alexandria: an optimized crystal structure of NbSi2AgBi (PBE).

Spin magnetization = 0.528 μB/atom
Energy relative to the elements, uncorrected = 1.280 eV per atom

Unit cell a=4.6837 b=5.6942 c=4.6837 alpha=90.00 beta=90.00 gamma=90.00
Site moments in Bohr magnetons follow the coordinates.
Atoms (fractional coordinates):
1 Nb 0.5000 0.5000 0.5000  2.14
2 Si 0.0000 0.0000 0.5000  -0.01
3 Si 0.5000 0.0000 0.0000  0.01
4 Ag 0.0000 0.0000 0.0000  0.01
5 Bi 0.0000 0.5000 0.0000  -0.09

Entry 2:
Entry from Alexandria: an optimized crystal structure of Sr2NbAgBi (PBE).

Spin magnetization = 0.003 μB/atom
DFT formation energy = 0.569 eV/atom

Unit cell a=6.0450 b=5.3761 c=6.0450 alpha=90.00 beta=90.00 gamma=90.00
Atoms (fractional coordinates):
1 Bi 0.0000 0.5000 0.0000
2 Nb 0.0000 0.0000 0.0000
3 Sr 0.5000 0.0000 0.0000
4 Sr 0.0000 0.0000 0.5000
5 Ag 0.5000 0.5000 0.5000

Entry 3:
Entry from Alexandria: an optimized crystal structure of NbTcAgBi2 (PBE).

Spin magnetization = 0.956 μB/atom
DFT formation energy = 1.434 eV/atom

Unit cell a=5.4196 b=5.2575 c=5.4196 alpha=90.00 beta=90.00 gamma=90.00
Site moments in Bohr magnetons follow the coordinates.
Atoms (fractional coordinates):
1 Ag 0.0000 0.5000 0.0000  0.04
2 Bi 0.5000 0.0000 0.0000  -0.07
3 Bi 0.0000 0.0000 0.5000  -0.05
4 Tc 0.5000 0.5000 0.5000  3.69
5 Nb 0.0000 0.0000 0.0000  0.45

Entry 4:
Entry from Alexandria: an optimized crystal structure of Nb2VAgBi (PBE).

Spin magnetization = 0.001 μB/atom
DFT formation energy = 1.520 eV/atom

Unit cell a=5.0049 b=4.6946 c=5.0049 alpha=90.00 beta=90.00 gamma=90.00
Atoms (fractional coordinates):
1 Bi 0.5000 0.5000 0.5000
2 Ag 0.0000 0.0000 0.0000
3 Nb 0.5000 0.0000 0.0000
4 Nb 0.0000 0.0000 0.5000
5 V 0.0000 0.5000 0.0000

Entry 5:
Entry from Alexandria: an optimized crystal structure of ZrNbAgBi2 (PBE).

Spin magnetization = 0.648 μB/atom
DFT formation energy = 1.140 eV/atom

Unit cell a=5.5430 b=5.2834 c=5.5430 alpha=90.00 beta=90.00 gamma=90.00
Site moments in Bohr magnetons follow the coordinates.
Atoms (fractional coordinates):
1 Ag 0.0000 0.5000 0.0000  -0.03
2 Nb 0.5000 0.5000 0.5000  2.67
3 Bi 0.5000 0.0000 0.0000  -0.04
4 Bi 0.0000 0.0000 0.5000  -0.09
5 Zr 0.0000 0.0000 0.0000  -0.03

Entry 6:
Entry from Alexandria: an optimized crystal structure of Nd7Ag2Bi2 (PBE).

Spin magnetization = 0.000 μB/atom
DFT formation energy = -0.129 eV/atom

Unit cell a=7.3888 b=7.0429 c=7.3888 alpha=90.00 beta=101.87 gamma=90.00
Atoms (fractional coordinates):
1 Bi 0.8140 0.5000 0.8140
2 Bi 0.1860 0.5000 0.1860
3 Nd 0.5000 0.2632 0.9999
4 Nd 0.5001 0.2464 0.4999
5 Nd 0.0000 0.0000 0.0000
6 Nd 0.4999 0.7536 0.5001
7 Nd 0.5000 0.7368 0.0001
8 Nd 0.0001 0.2632 0.5000
9 Nd 0.9999 0.7368 0.5000
10 Ag 0.7262 0.0001 0.2738
11 Ag 0.2738 0.9999 0.7262

Entry 7:
Entry from Alexandria: an optimized crystal structure of Nd4AgBi (PBE).

Spin magnetization = 0.000 μB/atom
DFT formation energy = -0.224 eV/atom

Unit cell a=5.7607 b=6.5809 c=11.0594 alpha=90.00 beta=105.10 gamma=90.00
Atoms (fractional coordinates):
1 Bi 0.1482 0.3223 0.2965
2 Bi 0.8518 0.8223 0.7035
3 Nd 0.2914 0.0690 0.5828
4 Nd 0.1181 0.8224 0.2362
5 Nd 0.4435 0.8221 0.8870
6 Nd 0.7086 0.5690 0.4172
7 Nd 0.2914 0.5757 0.5828
8 Nd 0.5565 0.3221 0.1130
9 Nd 0.8819 0.3224 0.7638
10 Nd 0.7086 0.0757 0.4172
11 Ag 0.5814 0.8220 0.1627
12 Ag 0.4186 0.3220 0.8373

Entry 8:
Entry from Alexandria: an optimized crystal structure of NdAgBi (PBE).

Spin magnetization = 0.000 μB/atom
DFT formation energy = -0.462 eV/atom

Unit cell a=4.3107 b=4.7456 c=4.7456 alpha=120.00 beta=90.00 gamma=90.00
Atoms (fractional coordinates):
1 Ag 0.2618 0.3333 0.6667
2 Nd 0.6437 0.6667 0.3333
3 Bi 0.0945 0.0000 0.0000

Entry 9:
Entry from Alexandria: an optimized crystal structure of Nd2AgBi4 (PBE).

Spin magnetization = 0.000 μB/atom
DFT formation energy = -0.532 eV/atom

Unit cell a=4.6525 b=4.6525 c=9.9087 alpha=90.00 beta=90.00 gamma=90.00
Atoms (fractional coordinates):
1 Nd 0.0000 0.5000 0.2376
2 Nd 0.5000 0.0000 0.7624
3 Bi 0.0000 0.5000 0.8324
4 Bi 0.0000 0.0000 0.5000
5 Bi 0.5000 0.5000 0.5000
6 Bi 0.5000 0.0000 0.1676
7 Ag 0.5000 0.5000 0.0000

Entry 10:
Entry from Alexandria: an optimized crystal structure of NdAg9Bi2 (PBE).

Spin magnetization = 0.000 μB/atom
DFT formation energy = -0.068 eV/atom

Unit cell a=5.7341 b=5.7341 c=9.7387 alpha=72.88 beta=72.88 gamma=60.00
Atoms (fractional coordinates):
1 Ag 0.5854 0.5854 0.7486
2 Ag 0.4146 0.4146 0.2514
3 Ag 0.0806 0.5854 0.7486
4 Ag 0.4146 0.9194 0.2514
5 Ag 0.3334 0.3334 0.9998
6 Ag 0.9194 0.4146 0.2514
7 Ag 0.5000 0.5000 0.5000
8 Ag 0.5854 0.0806 0.7486
9 Ag 0.6666 0.6666 0.0002
10 Nd 0.0000 0.0000 0.0000
11 Bi 0.8642 0.8642 0.4073
12 Bi 0.1358 0.1358 0.5927

Entry 11:
Entry from Alexandria: an optimized crystal structure of NdAgBi (PBE).

Spin magnetization = 0.000 μB/atom
DFT formation energy = 0.017 eV/atom

Unit cell a=6.3053 b=6.3053 c=10.5658 alpha=90.00 beta=90.00 gamma=90.00
Atoms (fractional coordinates):
1 Bi 0.9482 0.0518 0.7500
2 Bi 0.4482 0.4482 0.0000
3 Bi 0.5518 0.5518 0.5000
4 Bi 0.0518 0.9482 0.2500
5 Nd 0.2970 0.7030 0.7500
6 Nd 0.7030 0.2970 0.2500
7 Nd 0.7970 0.7970 0.0000
8 Nd 0.2030 0.2030 0.5000
9 Ag 0.3606 0.6394 0.2500
10 Ag 0.6394 0.3606 0.7500
11 Ag 0.1394 0.1394 0.0000
12 Ag 0.8606 0.8606 0.5000

Entry 12:
Entry from Alexandria: an optimized crystal structure of NdAgBi (PBE).

Spin magnetization = 0.000 μB/atom
DFT formation energy = -0.318 eV/atom

Unit cell a=4.2807 b=4.2807 c=5.5728 alpha=112.59 beta=112.59 gamma=90.00
Atoms (fractional coordinates):
1 Nd 0.2885 0.2885 0.5770
2 Bi 0.9410 0.9410 0.8819
3 Ag 0.6205 0.6205 0.2410